The following is a DFT calculation (PBE) of a relaxed structure of CeSm2Ag.

a = 7.582 Å, b = 7.582 Å, c = 7.582 Å
α = 90.00°, β = 90.00°, γ = 90.00°
Fractional coordinates of all 16 atoms:
Ce  0.000  0.000  0.000
Ce  0.000  0.500  0.500
Ce  0.500  0.000  0.500
Ce  0.500  0.500  0.000
Sm  0.250  0.250  0.250
Sm  0.250  0.250  0.750
Sm  0.250  0.750  0.250
Sm  0.250  0.750  0.750
Sm  0.750  0.250  0.250
Sm  0.750  0.250  0.750
Sm  0.750  0.750  0.250
Sm  0.750  0.750  0.750
Ag  0.000  0.000  0.500
Ag  0.000  0.500  0.000
Ag  0.500  0.000  0.000
Ag  0.500  0.500  0.500

Output
Total magnetic moment, μB/cell: 10.826
Fermi-level density of states, states/eV/f.u.: 8.71
Formation energy, eV/atom: 0.130
E above lowest polymorph, eV/atom: 0.209
Raw total energy, eV per cell: -70.81

The following is a DFT calculation (PBE) of a relaxed structure of YZrSi.

a = 6.605 Å, b = 6.605 Å, c = 6.605 Å
α = 90.00°, β = 90.00°, γ = 90.00°
Fractional coordinates of all 12 atoms:
Y  0.000  0.000  0.000
Y  0.000  0.500  0.500
Y  0.500  0.000  0.500
Y  0.500  0.500  0.000
Zr  0.000  0.000  0.500
Zr  0.000  0.500  0.000
Zr  0.500  0.000  0.000
Zr  0.500  0.500  0.500
Si  0.250  0.250  0.250
Si  0.250  0.750  0.750
Si  0.750  0.250  0.750
Si  0.750  0.750  0.250

Output
Total magnetic moment, μB/cell: 0.000
Fermi-level density of states, states/eV/f.u.: 2.61
Formation energy (no corrections), eV per atom: -0.37
Raw total energy, eV per cell: -86.13

The following is a DFT calculation (PBE) of a relaxed structure of ZrAlV.

a = 3.359 Å, b = 3.359 Å, c = 9.472 Å
α = 90.00°, β = 90.00°, γ = 90.00°
Fractional coordinates of all 6 atoms:
Zr  0.000  0.000  0.000
Zr  0.500  0.500  0.500
Al  0.000  0.000  0.688
Al  0.500  0.500  0.188
V  0.000  0.000  0.329
V  0.500  0.500  0.829

Output
Total magnetic moment, μB/cell: 2.901
Fermi-level density of states, states/eV/f.u.: 4.10
Formation energy, eV/atom: -0.102
E above lowest polymorph, eV/atom: 0.187
Raw total energy, eV per cell: -43.43

The following is a DFT calculation (PBE) of a relaxed structure of ErCoI.

a = 6.862 Å, b = 3.962 Å, c = 12.493 Å
α = 90.00°, β = 100.70°, γ = 90.00°
Fractional coordinates of all 12 atoms:
Er  0.050  0.000  0.147
Er  0.450  0.500  0.853
Er  0.550  0.500  0.147
Er  0.950  0.000  0.853
Co  0.166  0.500  0.997
Co  0.334  0.000  0.003
Co  0.666  0.000  0.997
Co  0.834  0.500  0.003
I  0.225  0.000  0.678
I  0.275  0.500  0.322
I  0.725  0.500  0.678
I  0.775  0.000  0.322

Output
Total magnetic moment, μB/cell: 1.110
Fermi-level density of states, states/eV/f.u.: 2.01
Formation energy (no corrections), eV per atom: -0.80
Raw total energy, eV per cell: -62.44

The following is a DFT calculation (PBE) of a relaxed structure of MnPCSeN.

a = 11.901 Å, b = 2.738 Å, c = 5.347 Å
α = 90.00°, β = 110.71°, γ = 90.00°
Fractional coordinates of all 10 atoms:
Mn  0.000  0.000  0.000
Mn  0.500  0.500  0.000
P  0.118  0.500  0.595
P  0.618  0.000  0.595
C  0.038  0.500  0.251
C  0.538  0.000  0.251
Se  0.312  0.500  0.583
Se  0.812  0.000  0.583
N  0.097  0.000  0.752
N  0.597  0.500  0.752

Output
Total magnetic moment, μB/cell: 4.677
Fermi-level density of states, states/eV/f.u.: 1.72
Formation energy (no corrections), eV per atom: 0.26
E above lowest polymorph, eV/atom: 0.045
Raw total energy, eV per cell: -68.61

The following is a DFT calculation (PBE) of a relaxed structure of BeC.

a = 2.403 Å, b = 2.403 Å, c = 31.383 Å
α = 90.00°, β = 90.00°, γ = 120.00°
Fractional coordinates of all 12 atoms:
Be  0.000  0.000  0.136
Be  0.000  0.000  0.864
Be  0.333  0.667  0.531
Be  0.333  0.667  0.802
Be  0.667  0.333  0.198
Be  0.667  0.333  0.469
C  0.000  0.000  0.333
C  0.000  0.000  0.667
C  0.333  0.667  0.000
C  0.333  0.667  0.333
C  0.667  0.333  0.000
C  0.667  0.333  0.667

Output
Total magnetic moment, μB/cell: 0.353
Fermi-level density of states, states/eV/f.u.: 1.35
Formation energy, eV/atom: 0.363
E above lowest polymorph, eV/atom: 0.044
Raw total energy, eV per cell: -73.34

The following is a DFT calculation (PBE) of a relaxed structure of BeTcPt2.

a = 2.763 Å, b = 2.763 Å, c = 6.967 Å
α = 90.00°, β = 90.00°, γ = 90.00°
Fractional coordinates of all 4 atoms:
Be  0.000  0.000  0.000
Tc  0.000  0.000  0.500
Pt  0.500  0.500  0.211
Pt  0.500  0.500  0.789

Output
Total magnetic moment, μB/cell: 0.422
Fermi-level density of states, states/eV/f.u.: 3.98
Formation energy, eV/atom: -0.393
Raw total energy, eV per cell: -27.75

The following is a DFT calculation (PBE) of a relaxed structure of LiMgCd2.

a = 3.075 Å, b = 4.932 Å, c = 5.331 Å
α = 90.00°, β = 90.00°, γ = 90.00°
Fractional coordinates of all 4 atoms:
Li  0.000  0.000  0.000
Mg  0.000  0.500  0.654
Cd  0.500  0.000  0.493
Cd  0.500  0.500  0.142

Output
Total magnetic moment, μB/cell: 0.000
Fermi-level density of states, states/eV/f.u.: 0.86
Formation energy, eV/atom: -0.185
Raw total energy, eV per cell: -6.08